DFT (PBE) results for K2PbSe after structural relaxation.

It has space group P4/mmm (No. 123), with a = 4.3905 Å, b = 4.3905 Å, c = 6.6982 Å, α = 90.00°, β = 90.00° and γ = 90.00°. The asymmetric unit holds K at (0.0000, 0.0000, 0.2187), Pb at (0.5000, 0.5000, 0.5000) and Se at (0.5000, 0.5000, 0.0000).

The energy relative to the elements, uncorrected comes out at -2.025 eV/f.u. As for the crystal system: tetragonal. As for the total energy: -11.41 eV per cell.

DFT (PBE) results for KPbSe2 after structural relaxation.

It has space group I-42d (No. 122), with a = 7.3843 Å, b = 7.3843 Å, c = 12.3955 Å, α = 90.00°, β = 90.00° and γ = 90.00°. The asymmetric unit holds K at (0.0000, 0.0000, 0.0000), Pb at (0.0000, 0.0000, 0.5000) and Se at (0.1906, 0.2500, 0.6250).

The energy relative to the elements, uncorrected comes out at -2.485 eV/f.u. As for the crystal system: tetragonal. As for the total energy: -57.04 eV per cell.

DFT (PBE) results for KPb4Se5 after structural relaxation.

It has space group C2/m (No. 12), with a = 14.6336 Å, b = 4.3732 Å, c = 10.8959 Å, α = 90.00°, β = 120.03° and γ = 90.00°. The asymmetric unit holds K at (0.0000, 0.0000, 0.0000), Pb at (0.1000, 0.5000, 0.3997), Pb at (0.2032, 0.0000, 0.8030), Se at (0.0000, 0.0000, 0.5000), Se at (0.1101, 0.5000, 0.8907) and Se at (0.2029, 0.0000, 0.3151).

The energy relative to the elements, uncorrected comes out at -6.144 eV/f.u. As for the crystal system: monoclinic. As for the total energy: -79.00 eV per cell.

DFT (PBE) results for KPbSe2 after structural relaxation.

It has space group P-3m1 (No. 164), with a = 4.5832 Å, b = 4.5832 Å, c = 14.7918 Å, α = 90.00°, β = 90.00° and γ = 120.00°. The asymmetric unit holds K at (0.0000, 0.0000, 0.1585), Pb at (0.3333, 0.6667, 0.5989), Se at (0.3333, 0.6667, 0.3104) and Se at (0.3333, 0.6667, 0.9865).

The energy relative to the elements, uncorrected comes out at -2.126 eV/f.u. As for the crystal system: trigonal. As for the total energy: -27.80 eV per cell.

DFT (PBE) results for K2Pb2Se3 after structural relaxation.

It has space group P-1 (No. 2), with a = 4.5304 Å, b = 7.7270 Å, c = 8.2227 Å, α = 103.31°, β = 90.01° and γ = 107.03°. The asymmetric unit holds K at (0.1426, 0.2845, 0.3575), Pb at (0.3686, 0.7375, 0.0757), Se at (0.0000, 0.0000, 0.0000) and Se at (0.2317, 0.4638, 0.7641).

The energy relative to the elements, uncorrected comes out at -5.497 eV/f.u. As for the crystal system: triclinic. As for the total energy: -25.56 eV per cell.

DFT (PBE) results for KPbSe after structural relaxation.

It has space group P3m1 (No. 156), with a = 5.1395 Å, b = 5.1395 Å, c = 4.4381 Å, α = 90.00°, β = 90.00° and γ = 120.00°. The asymmetric unit holds K at (0.0000, 0.0000, 0.0000), Pb at (0.6667, 0.3333, 0.5001) and Se at (0.3333, 0.6667, 0.5012).

The energy relative to the elements, uncorrected comes out at -1.592 eV/f.u. As for the crystal system: trigonal. As for the total energy: -9.88 eV per cell.

DFT (PBE) results for K2PbSe after structural relaxation.

It has space group F-43m (No. 216), with a = 8.1443 Å, b = 8.1443 Å, c = 8.1443 Å, α = 90.00°, β = 90.00° and γ = 90.00°. The asymmetric unit holds K at (0.0000, 0.0000, 0.0000), K at (0.2500, 0.2500, 0.2500), Pb at (0.0000, 0.0000, 0.5000) and Se at (0.2500, 0.2500, 0.7500).

The energy relative to the elements, uncorrected comes out at -1.040 eV/f.u. As for the crystal system: cubic. As for the total energy: -41.71 eV per cell.

DFT (PBE) results for K3Pb2Se4 after structural relaxation.

It has space group C2/c (No. 15), with a = 14.1568 Å, b = 11.1777 Å, c = 8.6622 Å, α = 90.00°, β = 90.06° and γ = 90.00°. The asymmetric unit holds K at (0.0000, 0.1063, 0.2500), K at (0.1214, 0.3735, 0.0313), Pb at (0.1836, 0.1293, 0.6054), Se at (0.1189, 0.3388, 0.4216) and Se at (0.1471, 0.0802, 0.9319).

The energy relative to the elements, uncorrected comes out at -7.333 eV/f.u. As for the crystal system: monoclinic. As for the total energy: -127.92 eV per cell.

DFT (PBE) results for K2PbSe after structural relaxation.

It has space group R-3m (No. 166, hexagonal axes), with a = 3.9635 Å, b = 3.9635 Å, c = 33.0812 Å, α = 90.00°, β = 90.00° and γ = 120.00°. The asymmetric unit holds K at (0.0000, 0.0000, 0.2311), Pb at (0.0000, 0.0000, 0.0000) and Se at (0.0000, 0.0000, 0.5000).

The energy relative to the elements, uncorrected comes out at -1.289 eV/f.u. As for the crystal system: trigonal. As for the total energy: -32.03 eV per cell.

DFT (PBE) results for KPbSe2 after structural relaxation.

It has space group P4mm (No. 99), with a = 4.2185 Å, b = 4.2185 Å, c = 7.8309 Å, α = 90.00°, β = 90.00° and γ = 90.00°. The asymmetric unit holds K at (0.0000, 0.0000, 0.0000), Pb at (0.5000, 0.5000, 0.5210), Se at (0.0000, 0.0000, 0.4337) and Se at (0.5000, 0.5000, 0.8588).

The energy relative to the elements, uncorrected comes out at -2.328 eV/f.u. As for the crystal system: tetragonal. As for the total energy: -14.10 eV per cell.

DFT (PBE) results for KPb3Se after structural relaxation.

It has space group Pm-3m (No. 221), with a = 6.0005 Å, b = 6.0005 Å, c = 6.0005 Å, α = 90.00°, β = 90.00° and γ = 90.00°. The asymmetric unit holds K at (0.0000, 0.0000, 0.0000), Pb at (0.0000, 0.0000, 0.5000) and Se at (0.5000, 0.5000, 0.5000).

The energy relative to the elements, uncorrected comes out at 5.268 eV/f.u. As for the crystal system: cubic. As for the total energy: -10.44 eV per cell.

DFT (PBE) results for K2PbSe2 after structural relaxation.

It has space group P2_1/c (No. 14), with a = 11.1271 Å, b = 8.3124 Å, c = 8.1335 Å, α = 90.00°, β = 101.86° and γ = 90.00°. The asymmetric unit holds K at (0.0298, 0.2400, 0.0097), K at (0.3182, 0.6723, 0.0143), Pb at (0.3617, 0.1558, 0.9189), Se at (0.1470, 0.5296, 0.2781) and Se at (0.4542, 0.5138, 0.7258).

The energy relative to the elements, uncorrected comes out at -4.511 eV/f.u. As for the crystal system: monoclinic. As for the total energy: -69.53 eV per cell.